Entry from Alexandria via LeMat-Bulk: a relaxed structure of BaLiVO4 (PBE with a Hubbard U).

Properties
Uncorrected energy, eV per atom: -6.7712

Lattice parameters (Å, degrees): 5.6456 5.6456 5.6781 119.81 119.81 90.00
Last column: nearest neighbours and their distance in Å.
Element x y z (fractional)
Ba 0.0000 0.0000 0.0000  4 O 2.67
Li 0.5000 0.5000 0.0000  4 O 2.01
V 0.2500 0.7500 0.5000  4 O 1.74
O 0.2439 0.0932 0.7404  1 V 1.74
O 0.3528 0.7561 0.2596  1 V 1.74
O 0.4964 0.6472 0.7404  1 V 1.74
O 0.9068 0.5036 0.2596  1 V 1.74